DFT (PBE) results for crystalline Ac6CuIr2 at its relaxed geometry.

Values from the calculation:
Symmetry: C2/m (12)
Formation energy from the elements in eV/atom: -0.389
Calculated density in g/cm3: 8.62
Uncorrected energy in eV/atom: -5.552

Unit cell a=9.6029 b=9.6029 c=8.5581 alpha=99.36 beta=99.36 gamma=26.64
Positions (direct):
Ac 0.0078 0.0078 0.2527
Ac 0.3293 0.3293 0.4299
Ac 0.3336 0.3336 0.9003
Ac 0.6664 0.6664 0.0997
Ac 0.6707 0.6707 0.5701
Ac 0.9922 0.9922 0.7473
Cu 0.5000 0.5000 0.0000
Ir 0.1657 0.1657 0.3301
Ir 0.8343 0.8343 0.6699